Computed, not measured: a geometry-optimized Ca3Mg structure at the PBEsol level of DFT.

a = 3.7777 Å, b = 3.7777 Å, c = 35.2388 Å
α = 90.00°, β = 90.00°, γ = 120.00°
Space group R-3m (No. 166, hexagonal axes)
Asymmetric unit:
1 Ca 0.0000 0.0000 0.0000 [3 per cell]
2 Ca 0.0000 0.0000 0.2426 [6 per cell]
3 Mg 0.0000 0.0000 0.5000 [3 per cell]

Properties
Formation energy, eV/atom: 0.0309
Density of states at the Fermi level, states/eV per cell: 13.067
Crystal system: trigonal